Computed, not measured: a geometry-optimized VO2 structure at the PBE with a Hubbard U level of DFT.

Values from the calculation:
energy = -7.744 eV/atom
volume = 12.6 Å³/atom
total magnetization = 4.0 Bohr magnetons per cell
space group = I4/m

Cell lengths 7.2052, 7.2052, 7.2052 Å; angles 92.58, 92.58, 155.48 degrees
With the nearest neighbours (Å) after each atom.
Positions (direct):
V: 0.1570 0.3368 0.4938  6 O 1.84-2.04
V: 0.3368 0.8430 0.1797  6 O 1.84-2.04
V: 0.6632 0.1570 0.8203  6 O 1.84-2.04
V: 0.8430 0.6632 0.5062  6 O 1.84-2.04
O: 0.1588 0.7927 0.9516  3 V 1.84-2.04
O: 0.1654 0.5324 0.6979  3 V 1.95-1.97
O: 0.2073 0.1588 0.3661  3 V 1.84-2.04
O: 0.4676 0.1654 0.6330  3 V 1.95-1.97
O: 0.5324 0.8346 0.3670  3 V 1.95-1.97
O: 0.7927 0.8412 0.6339  3 V 1.84-2.04
O: 0.8346 0.4676 0.3021  3 V 1.95-1.97
O: 0.8412 0.2073 0.0484  3 V 1.84-2.04